# 1
DFT (PBE-GGA) results for a relaxed structure of MgSbPdN2.

Cell: 3.9912 3.9912 5.6031 Å, 90.00 90.00 90.00°
Space group P4/mmm (No. 123)
Inequivalent atoms, fractional coordinates:
Mg (0.0000, 0.0000, 0.0000) [1 per cell]
Sb (0.5000, 0.5000, 0.0000) [1 per cell]
Pd (0.5000, 0.5000, 0.5000) [1 per cell]
N (0.0000, 0.5000, 0.5000) [2 per cell]

Summary:
**Crystal system**: tetragonal
**Raw formation energy**: 1245 meV per atom
**Calculated volume**: 17.9 Å³ per atom
**DOS at the Fermi energy**: 5.4 states/eV per cell

---

# 2
DFT (PBE-GGA) results for a relaxed structure of LiTbEuTm.

Cell: 7.9115 7.9115 7.9115 Å, 90.00 90.00 90.00°
Space group F-43m (No. 216)
Inequivalent atoms, fractional coordinates:
Li (0.0000, 0.0000, 0.0000) [4 per cell]
Tb (0.2500, 0.2500, 0.2500) [4 per cell]
Eu (0.2500, 0.2500, 0.7500) [4 per cell]
Tm (0.0000, 0.0000, 0.5000) [4 per cell]

Summary:
**Crystal system**: cubic
**Calculated volume**: 30.9 Å³ per atom
**DOS at the Fermi energy**: 16.4 states/eV per cell

---

# 3
DFT (PBE-GGA) results for a relaxed structure of TcTe2Pt.

Cell: 4.5077 4.5513 7.5554 Å, 90.00 90.00 90.00°
Space group Immm (No. 71)
Inequivalent atoms, fractional coordinates:
Tc (0.0000, 0.0000, 0.0000) [2 per cell]
Te (0.0000, 0.5000, 0.2457) [4 per cell]
Pt (0.0000, 0.0000, 0.5000) [2 per cell]

Summary:
**Crystal system**: orthorhombic
**Raw formation energy**: 378 meV per atom
**Calculated volume**: 19.4 Å³ per atom
**DOS at the Fermi energy**: 7.7 states/eV per cell

---

# 4
DFT (PBE-GGA) results for a relaxed structure of NaTl6Ga.

Cell: 7.9101 10.9833 5.3331 Å, 90.00 90.00 90.00°
Space group Cmmm (No. 65)
Inequivalent atoms, fractional coordinates:
Na (0.0000, 0.0000, 0.0000) [2 per cell]
Tl (0.0000, 0.2320, 0.5000) [4 per cell]
Tl (0.2174, 0.5000, 0.5000) [4 per cell]
Tl (0.2500, 0.2500, 0.0000) [4 per cell]
Ga (0.0000, 0.5000, 0.0000) [2 per cell]

Summary:
**Crystal system**: orthorhombic
**Calculated volume**: 29.0 Å³ per atom
**DOS at the Fermi energy**: 7.1 states/eV per cell

---

# 5
DFT (PBE-GGA) results for a relaxed structure of SrTa2Pt.

Cell: 3.5239 3.5239 7.6577 Å, 90.00 90.00 90.00°
Space group P4/mmm (No. 123)
Inequivalent atoms, fractional coordinates:
Sr (0.0000, 0.0000, 0.0000) [1 per cell]
Ta (0.5000, 0.5000, 0.3402) [2 per cell]
Pt (0.0000, 0.0000, 0.5000) [1 per cell]

Summary:
**Crystal system**: tetragonal
**Calculated volume**: 23.8 Å³ per atom
**DOS at the Fermi energy**: 7.3 states/eV per cell

---

# 6
DFT (PBE-GGA) results for a relaxed structure of Ce2Pu3In2.

Cell: 10.5011 4.6776 7.8637 Å, 90.00 115.54 90.00°
Space group C2/m (No. 12)
Inequivalent atoms, fractional coordinates:
Ce (0.1753, 0.0000, 0.1175) [4 per cell]
Pu (0.0000, 0.5000, 0.0000) [2 per cell]
Pu (0.0254, 0.5000, 0.7118) [4 per cell]
In (0.1788, 0.0000, 0.5685) [4 per cell]

Summary:
**Crystal system**: monoclinic
**Calculated volume**: 24.9 Å³ per atom
**DOS at the Fermi energy**: 23.7 states/eV per cell

---

# 7
DFT (PBE-GGA) results for a relaxed structure of LiMg2Ru.

Cell: 3.8862 3.8862 8.5898 Å, 90.00 90.00 90.00°
Space group I-4m2 (No. 119)
Inequivalent atoms, fractional coordinates:
Li (0.0000, 0.0000, 0.0000) [2 per cell]
Mg (0.0000, 0.0000, 0.5000) [2 per cell]
Mg (0.0000, 0.5000, 0.7500) [2 per cell]
Ru (0.0000, 0.5000, 0.2500) [2 per cell]

Summary:
**Crystal system**: tetragonal
**Calculated volume**: 16.2 Å³ per atom
**DOS at the Fermi energy**: 4.9 states/eV per cell

---

# 8
DFT (PBE-GGA) results for a relaxed structure of Ac2PuSi3Pt12.

Cell: 8.3115 8.3115 19.1969 Å, 90.00 90.00 120.00°
Space group R-3m (No. 166, hexagonal axes)
Inequivalent atoms, fractional coordinates:
Ac (0.0000, 0.0000, 0.1041) [6 per cell]
Pu (0.0000, 0.0000, 0.5000) [3 per cell]
Si (0.0000, 0.5000, 0.0000) [9 per cell]
Pt (0.0205, 0.5103, 0.8763) [18 per cell]
Pt (0.0375, 0.5188, 0.3646) [18 per cell]

Summary:
**Crystal system**: trigonal
**Raw formation energy**: -523 meV per atom
**Calculated volume**: 21.3 Å³ per atom
**DOS at the Fermi energy**: 50.8 states/eV per cell

---

# 9
DFT (PBE-GGA) results for a relaxed structure of Cu3HgSb.

Cell: 4.9395 4.9395 4.9395 Å, 90.00 90.00 90.00°
Space group Pm-3m (No. 221)
Inequivalent atoms, fractional coordinates:
Cu (0.0000, 0.0000, 0.5000) [3 per cell]
Hg (0.5000, 0.5000, 0.5000) [1 per cell]
Sb (0.0000, 0.0000, 0.0000) [1 per cell]

Summary:
**Crystal system**: cubic
**Raw formation energy**: 477 meV per atom
**Calculated volume**: 24.1 Å³ per atom
**DOS at the Fermi energy**: 0.0 states/eV per cell

---

# 10
DFT (PBE-GGA) results for a relaxed structure of Tb6Nd3Y2.

Cell: 6.2174 8.0182 8.0538 Å, 107.37 104.78 97.31°
Space group P-1 (No. 2)
Inequivalent atoms, fractional coordinates:
Tb (0.0456, 0.4076, 0.1805) [2 per cell]
Tb (0.2266, 0.0453, 0.9099) [2 per cell]
Tb (0.3179, 0.8639, 0.2714) [2 per cell]
Nd (0.1366, 0.2264, 0.5460) [2 per cell]
Nd (0.5000, 0.5000, 0.0000) [1 per cell]
Y (0.4088, 0.6828, 0.6368) [2 per cell]

Summary:
**Crystal system**: triclinic
**Calculated volume**: 32.9 Å³ per atom
**DOS at the Fermi energy**: 14.8 states/eV per cell

---

# 11
DFT (PBE-GGA) results for a relaxed structure of KAs.

Cell: 4.3098 4.3098 10.0770 Å, 90.00 90.00 120.00°
Space group P-3m1 (No. 164)
Inequivalent atoms, fractional coordinates:
K (0.3333, 0.6667, 0.2148) [2 per cell]
As (0.3333, 0.6667, 0.5448) [2 per cell]

Summary:
**Crystal system**: trigonal
**Calculated volume**: 40.5 Å³ per atom
**DOS at the Fermi energy**: 3.2 states/eV per cell

---

# 12
DFT (PBE-GGA) results for a relaxed structure of ThZr2P4.

Cell: 3.8535 12.3788 12.4123 Å, 90.00 90.00 90.00°
Space group Cmcm (No. 63)
Inequivalent atoms, fractional coordinates:
Th (0.0000, 0.1056, 0.2500) [4 per cell]
Zr (0.0000, 0.3654, 0.0562) [8 per cell]
P (0.0000, 0.0000, 0.0000) [4 per cell]
P (0.0000, 0.2634, 0.6304) [8 per cell]
P (0.0000, 0.4370, 0.2500) [4 per cell]

Summary:
**Crystal system**: orthorhombic
**Calculated volume**: 21.1 Å³ per atom
**DOS at the Fermi energy**: 5.6 states/eV per cell

---

| no. | total DFT energy (no corrections) (eV/atom) |
| --- | --- |
| 1 | -4.267 |
| 2 | -5.119 |
| 3 | -5.295 |
| 4 | -2.324 |
| 5 | -7.444 |
| 6 | -8.694 |
| 7 | -3.525 |
| 8 | -6.707 |
| 9 | -2.866 |
| 10 | -4.987 |
| 11 | -3.031 |
| 12 | -7.739 |